Entry from Alexandria: a relaxed structure of DyLuS (GGA-PBE).

Calculated values
The uncorrected formation energy is -1256 meV per atom. Its space-group type is P3m1 (156). The calculation puts the theoretical density at 8.2 Mg/m³. The density of states at the Fermi level comes out at 3.31 states/eV/cell.

a b c (Å): 3.724 3.724 6.219
angles (deg): 90.00 90.00 120.00
Element x y z (fractional)
Lu 0.333 0.667 0.598
S 0.667 0.333 0.338
Dy 0.000 0.000 0.064

***

Entry from Alexandria: a relaxed structure of Cd5Sn2Hg2 (GGA-PBE).

Calculated values
Its space-group type is P-1 (2). The calculation puts the energy above the most stable polymorph in this dataset at 0.006 eV/atom. The calculation puts the theoretical density at 8.6 Mg/m³. The density of states at the Fermi level comes out at 2.81 states/eV/cell. As for the formation energy: 0.057 eV/atom.

a b c (Å): 4.790 7.472 8.920
angles (deg): 132.99 84.19 95.61
Element x y z (fractional)
Sn 0.146 0.331 0.786
Sn 0.854 0.669 0.214
Cd 0.080 0.758 0.557
Cd 0.000 0.000 0.000
Cd 0.591 0.121 0.817
Cd 0.920 0.242 0.443
Cd 0.409 0.879 0.183
Hg 0.518 0.640 0.732
Hg 0.482 0.360 0.268

***

Entry from Alexandria: a relaxed structure of RbSrVBr6 (GGA-PBE).

Calculated values
The uncorrected formation energy is -1461 meV per atom. Its space-group type is P-31c (163). The calculation puts the theoretical density at 3.3 Mg/m³. The density of states at the Fermi level comes out at 21.15 states/eV/cell.

a b c (Å): 7.455 7.455 14.681
angles (deg): 90.00 90.00 120.00
Element x y z (fractional)
Sr 0.333 0.667 0.250
Sr 0.667 0.333 0.750
Br 0.656 0.049 0.354
Br 0.951 0.606 0.354
Br 0.951 0.344 0.146
Br 0.606 0.656 0.646
Br 0.394 0.049 0.146
Br 0.656 0.606 0.146
Br 0.344 0.951 0.646
Br 0.049 0.394 0.646
Br 0.049 0.656 0.854
Br 0.394 0.344 0.354
Br 0.344 0.394 0.854
Br 0.606 0.951 0.854
Rb 0.000 0.000 0.000
Rb 0.000 0.000 0.500
V 0.667 0.333 0.250
V 0.333 0.667 0.750

***

Entry from Alexandria: a relaxed structure of Al2ZnSiB (GGA-PBE).

Calculated values
The uncorrected formation energy is 434 meV per atom. Its space-group type is P4/mmm (123). The calculation puts the theoretical density at 3.5 Mg/m³. The density of states at the Fermi level comes out at 2.27 states/eV/cell.

a b c (Å): 4.239 4.184 4.239
angles (deg): 90.00 90.00 90.00
Element x y z (fractional)
Zn 0.500 0.500 0.500
Al 0.000 0.000 0.500
Al 0.500 0.000 0.000
Si 0.000 0.500 0.000
B 0.000 0.000 0.000

***

Entry from Alexandria: a relaxed structure of BaLi2PrHg4 (GGA-PBE).

Calculated values
Its space-group type is R-3m (166). The calculation puts the theoretical density at 8.3 Mg/m³. The density of states at the Fermi level comes out at 5.81 states/eV/cell. As for the formation energy: -0.414 eV/atom.

a b c (Å): 5.081 5.081 10.238
angles (deg): 75.63 75.63 60.00
Element x y z (fractional)
Li 0.763 0.763 0.710
Li 0.237 0.237 0.290
Hg 0.394 0.394 0.817
Hg 0.606 0.606 0.183
Hg 0.121 0.121 0.636
Hg 0.879 0.879 0.364
Pr 0.500 0.500 0.500
Ba 0.000 0.000 0.000

***

Entry from Alexandria: a relaxed structure of TaTi5Ga8 (GGA-PBE).

Calculated values
Its space-group type is I-4 (82). The calculation puts the theoretical density at 6.9 Mg/m³. The density of states at the Fermi level comes out at 8.67 states/eV/cell. As for the formation energy: -0.209 eV/atom.

a b c (Å): 6.730 6.730 6.730
angles (deg): 110.32 107.78 110.32
Element x y z (fractional)
Ta 0.250 0.500 0.750
Ti 0.905 0.930 0.210
Ti 0.500 0.000 0.500
Ti 0.790 0.695 0.720
Ti 0.280 0.070 0.975
Ti 0.025 0.305 0.095
Ga 0.939 0.059 0.642
Ga 0.766 0.279 0.364
Ga 0.358 0.297 0.417
Ga 0.512 0.597 0.234
Ga 0.583 0.941 0.881
Ga 0.085 0.721 0.488
Ga 0.119 0.703 0.061
Ga 0.636 0.403 0.915

***

> Which of these has the highest density of states at the Fermi level?

RbSrVBr6